1.
CaPaRuN4: relaxed, PBE-GGA.

Structure (CIF):
```
data_CaPaRuN4
_chemical_formula_sum 'Ca2 Pa2 Ru2 N8'
_cell_length_a 5.960
_cell_length_b 5.434
_cell_length_c 6.810
_cell_angle_alpha 90.00
_cell_angle_beta 109.45
_cell_angle_gamma 90.00
_space_group_name_H-M_alt 'P 1 21/m 1'
_space_group_IT_number 11
loop_
_space_group_symop_operation_xyz
'x,y,z'
'-x,-y,-z'
'-x,y+1/2,-z'
'x,-y+1/2,z'
loop_
_atom_site_label
_atom_site_fract_x
_atom_site_fract_y
_atom_site_fract_z
Ca1 0.191 0.250 0.440
Pa1 0.284 0.250 0.962
Ru1 0.265 0.750 0.198
N1 0.044 0.750 0.929
N2 0.058 0.750 0.349
N3 0.486 0.011 0.783
```

Calculated values
DOS at the Fermi energy (states/eV/f.u.): 5.84
E_form (uncorrected) (kJ/mol of atoms): -53.1
Calculated total energy (Ry per atom): -0.60820


2.
K2Ag3F8: relaxed, PBE-GGA.

Structure (CIF):
```
data_K2Ag3F8
_chemical_formula_sum 'K2 Ag3 F8'
_cell_length_a 4.311
_cell_length_b 4.311
_cell_length_c 11.931
_cell_angle_alpha 90.00
_cell_angle_beta 90.00
_cell_angle_gamma 90.00
_space_group_name_H-M_alt 'P 4/m m m'
_space_group_IT_number 123
_space_group_name_Hall '-P 4 2'
loop_
_atom_site_label
_atom_site_fract_x
_atom_site_fract_y
_atom_site_fract_z
K1 0.000 0.000 0.201
Ag1 0.500 0.500 0.000
Ag2 0.500 0.500 0.375
F1 0.000 0.500 0.000
F2 0.000 0.500 0.360
F3 0.500 0.500 0.177
```

Calculated values
DOS at the Fermi energy (states/eV/f.u.): 4.41
E_form (uncorrected) (kJ/mol of atoms): -162.5
Calculated total energy (Ry per atom): -0.26922


3.
Dy5Te5H2: relaxed, PBE-GGA.

Structure (CIF):
```
data_Dy5Te5H2
_chemical_formula_sum 'Dy10 Te10 H4'
_cell_length_a 13.780
_cell_length_b 4.036
_cell_length_c 10.755
_cell_angle_alpha 90.00
_cell_angle_beta 99.77
_cell_angle_gamma 90.00
_space_group_name_H-M_alt 'C 1 2/m 1'
_space_group_IT_number 12
loop_
_space_group_symop_operation_xyz
'x,y,z'
'-x,-y,-z'
'-x,y,-z'
'x,-y,z'
'x+1/2,y+1/2,z'
'-x+1/2,-y+1/2,-z'
'-x+1/2,y+1/2,-z'
'x+1/2,-y+1/2,z'
loop_
_atom_site_label
_atom_site_fract_x
_atom_site_fract_y
_atom_site_fract_z
Dy1 0.000 0.000 0.000
Dy2 0.104 0.000 0.336
Dy3 0.153 0.500 0.796
Te1 0.000 0.500 0.500
Te2 0.163 0.500 0.089
Te3 0.220 0.000 0.614
H1 0.050 0.000 0.808
```

Calculated values
DOS at the Fermi energy (states/eV/f.u.): 5.31
Calculated total energy (Ry per atom): -0.35221


4.
TbPmRuAu: relaxed, PBE-GGA.

Structure (CIF):
```
data_TbPmRuAu
_chemical_formula_sum 'Tb4 Pm4 Ru4 Au4'
_cell_length_a 7.110
_cell_length_b 7.110
_cell_length_c 7.110
_cell_angle_alpha 90.00
_cell_angle_beta 90.00
_cell_angle_gamma 90.00
_space_group_name_H-M_alt 'F -4 3 m'
_space_group_IT_number 216
_space_group_name_Hall 'F -4 2 3'
loop_
_atom_site_label
_atom_site_fract_x
_atom_site_fract_y
_atom_site_fract_z
Tb1 0.000 0.000 0.000
Pm1 0.000 0.000 0.500
Ru1 0.250 0.250 0.250
Au1 0.250 0.250 0.750
```

Calculated values
ΔH_f (0 K) (eV/atom): -0.501
DOS at the Fermi energy (states/eV/f.u.): 3.14
Calculated total energy (Ry per atom): -0.43982


5.
Tb2AlNi3: relaxed, PBE-GGA.

Structure (CIF):
```
data_Tb2AlNi3
_chemical_formula_sum 'Tb4 Al2 Ni6'
_cell_length_a 5.3135
_cell_length_b 5.3135
_cell_length_c 8.1046
_cell_angle_alpha 90.00
_cell_angle_beta 90.00
_cell_angle_gamma 120.00
_space_group_name_H-M_alt 'P 63/m m c'
_space_group_IT_number 194
_space_group_name_Hall '-P 6c 2c'
loop_
_atom_site_label
_atom_site_fract_x
_atom_site_fract_y
_atom_site_fract_z
Tb1 0.3333 0.6667 0.0580
Al1 0.0000 0.0000 0.0000
Ni1 0.1675 0.3350 0.7500
```

Calculated values
ΔH_f (0 K) (eV/atom): -0.495
DOS at the Fermi energy (states/eV/f.u.): 4.88
Calculated total energy (Ry per atom): -0.40811


6.
Ac4AlPb8: relaxed, PBE-GGA.

Structure (CIF):
```
data_Ac4AlPb8
_chemical_formula_sum 'Ac4 Al1 Pb8'
_cell_length_a 4.745
_cell_length_b 4.921
_cell_length_c 18.590
_cell_angle_alpha 90.00
_cell_angle_beta 90.00
_cell_angle_gamma 90.00
_space_group_name_H-M_alt 'P m m 2'
_space_group_IT_number 25
loop_
_space_group_symop_operation_xyz
'x,y,z'
'-x,-y,z'
'-x,y,z'
'x,-y,z'
loop_
_atom_site_label
_atom_site_fract_x
_atom_site_fract_y
_atom_site_fract_z
Ac1 0.000 0.000 0.000
Ac2 0.000 0.500 0.486
Ac3 0.500 0.000 0.792
Ac4 0.500 0.500 0.290
Al1 0.000 0.500 0.719
Pb1 0.000 0.000 0.329
Pb2 0.000 0.000 0.632
Pb3 0.000 0.500 0.142
Pb4 0.000 0.500 0.865
Pb5 0.500 0.000 0.149
Pb6 0.500 0.000 0.445
Pb7 0.500 0.500 0.631
Pb8 0.500 0.500 0.985
```

Calculated values
ΔH_f (0 K) (eV/atom): -0.394
DOS at the Fermi energy (states/eV/f.u.): 5.88
Calculated total energy (Ry per atom): -0.31078


7.
HfOs2Pb: relaxed, PBE-GGA.

Structure (CIF):
```
data_HfOs2Pb
_chemical_formula_sum 'Hf4 Os8 Pb4'
_cell_length_a 4.244
_cell_length_b 4.244
_cell_length_c 18.457
_cell_angle_alpha 90.00
_cell_angle_beta 90.00
_cell_angle_gamma 90.00
_space_group_name_H-M_alt 'I -4 2 d'
_space_group_IT_number 122
_space_group_name_Hall 'I -4 2bw'
loop_
_atom_site_label
_atom_site_fract_x
_atom_site_fract_y
_atom_site_fract_z
Hf1 0.000 0.000 0.000
Os1 0.176 0.250 0.125
Pb1 0.000 0.000 0.500
```

Calculated values
ΔH_f (0 K) (eV/atom): 0.800
DOS at the Fermi energy (states/eV/f.u.): 2.88
Calculated total energy (Ry per atom): -0.60491


8.
Nd2Y6Th: relaxed, PBE-GGA.

Structure (CIF):
```
data_Nd2Y6Th
_chemical_formula_sum 'Nd2 Y6 Th1'
_cell_length_a 3.6167
_cell_length_b 3.6167
_cell_length_c 26.6221
_cell_angle_alpha 90.00
_cell_angle_beta 90.00
_cell_angle_gamma 120.00
_space_group_name_H-M_alt 'P -6 m 2'
_space_group_IT_number 187
_space_group_name_Hall 'P -6 2'
loop_
_atom_site_label
_atom_site_fract_x
_atom_site_fract_y
_atom_site_fract_z
Nd1 0.0000 0.0000 0.1713
Y1 0.0000 0.0000 0.3912
Y2 0.6667 0.3333 0.0631
Y3 0.6667 0.3333 0.2842
Th1 0.6667 0.3333 0.5000
```

Calculated values
ΔH_f (0 K) (eV/atom): 0.066
DOS at the Fermi energy (states/eV/f.u.): 17.48
Calculated total energy (Ry per atom): -0.45034